## NdMo2PbO8 (PBE with a Hubbard U)

Data for crystalline NdMo2PbO8 at its relaxed geometry.

As for the energy: -7.038 eV/atom.

The structure belongs to space group P-3m1 (No. 164); the cell edges are 6.1027, 6.1027 and 7.2134 Å and the angles 90.00°, 90.00° and 120.00°. The asymmetric unit holds Nd at (0.0000, 0.0000, 0.0000), Mo at (0.3333, 0.6667, 0.2961), Pb at (0.0000, 0.0000, 0.5000), O at (0.1663, 0.3326, 0.2196) and O at (0.3333, 0.6667, 0.5403).